Entry 1:
The following is a PBE calculation of a relaxed CdAgSnBi crystal, from the Alexandria database.

Cell and atoms, written as POSCAR:
```
CdAgSnBi
1.0
0.000 3.700 3.700
3.700 0.000 3.700
3.700 3.700 0.000
Cd Ag Sn Bi
1 1 1 1
Cartesian
0.000 0.000 0.000
3.700 3.700 3.700
1.850 1.850 1.850
5.551 5.551 5.551
```

Values from the calculation:
M_tot	0.0	μB per cell
DOS(E_F)	1.57	states/eV/f.u.
crystal system	cubic
formation enthalpy at 0 K	0.13	eV per atom
volume	101.3	Å³/f.u.


Entry 2:
The following is a PBE calculation of a relaxed CdAgSn2Bi crystal, from the Alexandria database.

Cell and atoms, written as POSCAR:
```
CdAgSn2Bi
1.0
5.370 0.000 0.000
0.000 5.370 0.000
0.000 0.000 5.621
Cd Ag Sn Bi
1 1 2 1
Cartesian
0.000 0.000 0.000
2.685 2.685 2.811
0.000 2.685 2.811
2.685 0.000 2.811
2.685 2.685 0.000
```

Values from the calculation:
M_tot	0.0	μB per cell
DOS(E_F)	1.64	states/eV/f.u.
crystal system	tetragonal
formation enthalpy at 0 K	0.43	eV per atom
volume	162.1	Å³/f.u.


Entry 3:
The following is a PBE calculation of a relaxed Sr2Cd12Ag3Bi crystal, from the Alexandria database.

Cell and atoms, written as POSCAR:
```
Sr2Cd12Ag3Bi
1.0
3.602 2.079 11.046
-3.602 2.079 11.046
0.000 -4.159 11.046
Sr Cd Ag Bi
2 12 3 1
Cartesian
0.000 0.000 4.603
0.000 0.000 28.535
-2.000 -1.155 14.433
0.000 -2.506 9.532
-2.170 1.253 9.532
-2.170 -1.253 23.607
0.000 -2.309 18.705
-2.000 1.155 18.705
2.000 -1.155 14.433
0.000 2.309 14.433
2.170 1.253 9.532
2.170 -1.253 23.607
0.000 2.506 23.607
2.000 1.155 18.705
-1.801 -1.040 11.046
-1.801 1.040 22.092
0.000 2.079 11.046
0.000 0.000 16.569
```

Values from the calculation:
M_tot	0.0	μB per cell
DOS(E_F)	6.15	states/eV/f.u.
crystal system	trigonal
formation enthalpy at 0 K	-0.03	eV per atom
volume	496.3	Å³/f.u.


Entry 4:
The following is a PBE calculation of a relaxed SrCdAgBi crystal, from the Alexandria database.

Cell and atoms, written as POSCAR:
```
SrCdAgBi
1.0
0.000 3.822 3.822
3.822 0.000 3.822
3.822 3.822 0.000
Sr Cd Ag Bi
1 1 1 1
Cartesian
0.000 0.000 0.000
1.911 1.911 1.911
5.733 5.733 5.733
3.822 3.822 3.822
```

Values from the calculation:
M_tot	0.0	μB per cell
DOS(E_F)	1.34	states/eV/f.u.
crystal system	cubic
formation enthalpy at 0 K	-0.28	eV per atom
volume	111.6	Å³/f.u.


Entry 5:
The following is a PBE calculation of a relaxed SrCd2AgBi crystal, from the Alexandria database.

Cell and atoms, written as POSCAR:
```
SrCd2AgBi
1.0
5.998 0.000 0.000
0.000 5.998 0.000
0.000 0.000 5.614
Sr Cd Ag Bi
1 2 1 1
Cartesian
0.000 0.000 0.000
0.000 2.999 0.000
2.999 0.000 0.000
0.000 0.000 2.807
2.999 2.999 2.807
```

Values from the calculation:
M_tot	0.0	μB per cell
DOS(E_F)	6.49	states/eV/f.u.
crystal system	tetragonal
formation enthalpy at 0 K	0.77	eV per atom
volume	201.9	Å³/f.u.


Entry 6:
The following is a PBE calculation of a relaxed TbCdAgBi crystal, from the Alexandria database.

Cell and atoms, written as POSCAR:
```
TbCdAgBi
1.0
0.000 3.706 3.706
3.706 0.000 3.706
3.706 3.706 0.000
Tb Cd Ag Bi
1 1 1 1
Cartesian
0.000 0.000 0.000
3.706 3.706 3.706
1.853 1.853 1.853
5.560 5.560 5.560
```

Values from the calculation:
M_tot	0.0	μB per cell
DOS(E_F)	2.39	states/eV/f.u.
crystal system	cubic
formation enthalpy at 0 K	-0.19	eV per atom
volume	101.8	Å³/f.u.


Entry 7:
The following is a PBE calculation of a relaxed Cd2AgBiTe4 crystal, from the Alexandria database.

Cell and atoms, written as POSCAR:
```
Cd2AgBiTe4
1.0
0.000 4.741 6.717
4.740 0.000 6.717
4.740 4.741 0.000
Cd Ag Bi Te
2 1 1 4
Cartesian
2.370 2.370 0.000
2.370 2.370 6.717
4.740 4.741 3.354
4.740 4.741 10.079
6.958 4.741 5.090
4.740 2.223 8.346
2.521 4.741 5.090
4.740 7.258 8.346
```

Values from the calculation:
M_tot	0.0	μB per cell
ΔE_f (raw)	-0.257	eV/atom
crystal system	orthorhombic
volume	301.9	Å³/f.u.


Entry 8:
The following is a PBE calculation of a relaxed ThCdAgBi crystal, from the Alexandria database.

Cell and atoms, written as POSCAR:
```
ThCdAgBi
1.0
0.000 3.763 3.763
3.763 0.000 3.763
3.763 3.763 0.000
Th Cd Ag Bi
1 1 1 1
Cartesian
0.000 0.000 0.000
3.763 3.763 3.763
1.881 1.881 1.881
5.644 5.644 5.644
```

Values from the calculation:
M_tot	0.0	μB per cell
DOS(E_F)	4.86	states/eV/f.u.
crystal system	cubic
formation enthalpy at 0 K	-0.06	eV per atom
volume	106.6	Å³/f.u.


Entry 9:
The following is a PBE calculation of a relaxed ZnCdAgBi crystal, from the Alexandria database.

Cell and atoms, written as POSCAR:
```
ZnCdAgBi
1.0
0.000 3.554 3.554
3.554 0.000 3.554
3.554 3.554 0.000
Zn Cd Ag Bi
1 1 1 1
Cartesian
0.000 0.000 0.000
1.777 1.777 1.777
3.554 3.554 3.554
5.330 5.330 5.330
```

Values from the calculation:
M_tot	0.0	μB per cell
DOS(E_F)	1.24	states/eV/f.u.
crystal system	cubic
formation enthalpy at 0 K	0.15	eV per atom
volume	89.8	Å³/f.u.


Entry 10:
The following is a PBE calculation of a relaxed CeAgBi crystal, from the Alexandria database.

Cell and atoms, written as POSCAR:
```
CeAgBi
1.0
-2.395 3.587 4.734
2.395 -3.587 4.734
2.395 3.587 -4.734
Ce Ag Bi
2 2 2
Cartesian
0.000 1.774 0.000
0.000 5.400 0.000
0.000 0.000 3.360
0.000 0.000 6.108
2.395 0.000 1.759
0.000 3.587 2.975
```

Values from the calculation:
M_tot	2.1	μB per cell
DOS(E_F)	6.04	states/eV/f.u.
crystal system	orthorhombic
formation enthalpy at 0 K	-0.41	eV per atom
volume	81.3	Å³/f.u.


Entry 11:
The following is a PBE calculation of a relaxed CeAg2Bi2 crystal, from the Alexandria database.

Cell and atoms, written as POSCAR:
```
CeAg2Bi2
1.0
2.285 -12.210 0.000
2.285 12.210 0.000
0.000 0.000 4.585
Ce Ag Bi
2 4 4
Cartesian
2.285 8.683 3.438
2.285 -8.683 1.146
2.285 11.323 1.146
2.285 0.894 1.146
2.285 -0.894 3.438
2.285 -11.323 3.438
2.285 6.112 1.146
2.285 2.873 3.438
2.285 -2.873 1.146
2.285 -6.112 3.438
```

Values from the calculation:
M_tot	1.5	μB per cell
DOS(E_F)	6.44	states/eV/f.u.
crystal system	orthorhombic
formation enthalpy at 0 K	-0.35	eV per atom
volume	127.9	Å³/f.u.


Entry 12:
The following is a PBE calculation of a relaxed CeAgBi crystal, from the Alexandria database.

Cell and atoms, written as POSCAR:
```
CeAgBi
1.0
-2.100 2.100 4.741
2.100 -2.100 4.741
2.100 2.100 -4.741
Ce Ag Bi
1 1 1
Cartesian
0.000 0.000 0.000
0.000 0.000 6.339
0.000 0.000 3.247
```

Values from the calculation:
M_tot	0.7	μB per cell
DOS(E_F)	5.91	states/eV/f.u.
crystal system	tetragonal
formation enthalpy at 0 K	-0.24	eV per atom
volume	83.6	Å³/f.u.


Among the records above, which one has the lowest volume? number 10